A:
VASP calculation (PBE-GGA) on PmPrTmSc after structural relaxation.

```
PmPrTmSc
1.0
-3.241 -1.360 -1.494
1.437 -5.246 1.660
-5.030 2.803 3.471
Pm Pr Tm Sc
1 1 1 1
Direct
0.427 0.135 0.270
0.652 0.411 0.821
0.190 0.873 0.745
0.916 0.646 0.293
```

Output
SG = Imm2
Density of states at the Fermi level = 1.63 states/eV/atom


B:
VASP calculation (PBE-GGA) on PmPrTmSc after structural relaxation.

```
PmPrTmSc
1.0
5.613 0.000 0.000
2.806 4.861 0.000
2.806 1.620 4.583
Pr Sc Tm Pm
1 1 1 1
Direct
0.750 0.750 0.750
0.000 0.000 0.000
0.500 0.500 0.500
0.250 0.250 0.250
```

Output
SG = F-43m
Density of states at the Fermi level = 1.54 states/eV/atom


In terms of stability, B leads; the second structure lies 0.005 eV/atom higher.


A:
VASP calculation (PBE-GGA) on PmPr2Se after structural relaxation.

```
PmPr2Se
1.0
-0.032 -3.054 -2.420
3.302 -1.930 -0.746
-0.836 -8.113 7.115
Pr Se Pm
2 1 1
Direct
0.108 0.108 0.676
0.892 0.892 0.324
0.500 0.500 0.500
0.000 0.000 0.000
```

Output
SG = R-3m
Density of states at the Fermi level = 1.34 states/eV/atom


B:
VASP calculation (PBE-GGA) on PmPr2Se after structural relaxation.

```
PmPr2Se
1.0
-3.207 1.430 1.854
-1.845 -2.190 2.751
4.013 3.596 8.421
Pm Pr Se
1 2 1
Direct
0.500 0.500 0.501
0.066 0.066 0.803
0.268 0.268 0.197
0.667 0.667 0.999
```

Output
SG = R3m
Density of states at the Fermi level = 0.95 states/eV/atom


In terms of stability, B leads; the second structure lies 0.217 eV/atom higher.


A:
VASP calculation (PBE-GGA) on PmPr2Se3 after structural relaxation.

```
PmPr2Se3
1.0
-2.996 -0.440 -2.897
3.853 -1.477 -0.730
-5.557 -18.750 8.596
Pm Pr Se
2 4 6
Direct
0.000 0.000 0.250
0.000 0.000 0.750
0.333 0.667 0.917
0.667 0.333 0.083
0.667 0.333 0.417
0.333 0.667 0.583
0.000 0.000 0.000
0.333 0.667 0.167
0.333 0.667 0.333
0.000 0.000 0.500
0.667 0.333 0.667
0.667 0.333 0.833
```

Output
SG = P6_3/mmc
Density of states at the Fermi level = 0.51 states/eV/atom


B:
VASP calculation (PBE-GGA) on PmPr2Se3 after structural relaxation.

```
PmPr2Se3
1.0
-2.480 -3.299 1.037
4.398 -3.780 -1.507
1.257 3.744 6.188
Pm Pr Se
1 2 3
Direct
0.500 0.500 0.500
0.831 0.831 0.162
0.169 0.169 0.838
0.837 0.337 0.174
0.163 0.663 0.826
0.500 0.000 0.500
```

Output
SG = Immm
Density of states at the Fermi level = 0.45 states/eV/atom


In terms of stability, B leads; the second structure lies 0.012 eV/atom higher.


A:
VASP calculation (PBE-GGA) on Pm2PrSe4 after structural relaxation.

```
Pm2PrSe4
1.0
-0.560 -4.060 0.248
6.775 1.277 2.223
-4.630 1.452 13.279
Pm Pr Se
4 2 8
Direct
0.130 0.260 0.431
0.870 0.740 0.931
0.130 0.260 0.069
0.870 0.740 0.569
0.625 0.251 0.750
0.375 0.749 0.250
0.776 0.552 0.122
0.776 0.552 0.378
0.224 0.448 0.878
0.224 0.448 0.622
0.968 0.937 0.750
0.032 0.063 0.250
0.500 0.000 0.000
0.500 0.000 0.500
```

Output
SG = Cmcm
Density of states at the Fermi level = 0.29 states/eV/atom


B:
VASP calculation (PBE-GGA) on Pm2PrSe4 after structural relaxation.

```
Pm2PrSe4
1.0
7.354 0.000 4.238
2.530 6.883 4.109
0.054 0.028 8.405
Pm Pr Se
4 2 8
Direct
0.000 0.000 0.000
0.000 0.000 0.500
0.000 0.500 0.500
0.500 0.000 0.500
0.500 0.500 0.000
0.000 0.500 0.000
0.253 0.244 0.250
0.747 0.250 0.256
0.253 0.750 0.744
0.747 0.756 0.750
0.756 0.752 0.252
0.759 0.248 0.748
0.241 0.752 0.252
0.244 0.248 0.748
```

Output
SG = Imma
Density of states at the Fermi level = 0.30 states/eV/atom


In terms of stability, B leads; the second structure lies 0.014 eV/atom higher.


A:
VASP calculation (PBE-GGA) on PmPr2Se4 after structural relaxation.

```
PmPr2Se4
1.0
7.343 0.000 4.233
2.528 6.917 4.100
0.033 0.011 8.429
Pm Pr Se
2 4 8
Direct
0.500 0.500 0.000
0.000 0.500 0.000
0.000 0.000 0.000
0.000 0.000 0.500
0.000 0.500 0.500
0.500 0.000 0.500
0.255 0.248 0.241
0.745 0.259 0.252
0.255 0.741 0.748
0.745 0.752 0.759
0.755 0.748 0.248
0.752 0.252 0.752
0.248 0.748 0.248
0.245 0.252 0.752
```

Output
SG = Imma
Density of states at the Fermi level = 0.30 states/eV/atom


B:
VASP calculation (PBE-GGA) on PmPr2Se4 after structural relaxation.

```
PmPr2Se4
1.0
4.106 0.000 0.000
-2.053 7.051 0.000
0.000 0.000 14.216
Pm Pr Se
2 4 8
Direct
0.627 0.254 0.750
0.373 0.746 0.250
0.130 0.260 0.429
0.870 0.740 0.929
0.130 0.260 0.071
0.870 0.740 0.571
0.779 0.557 0.124
0.779 0.557 0.376
0.221 0.443 0.876
0.221 0.443 0.624
0.976 0.952 0.750
0.024 0.048 0.250
0.500 0.000 0.000
0.500 0.000 0.500
```

Output
SG = Cmcm
Density of states at the Fermi level = 0.31 states/eV/atom


In terms of stability, A leads; the second structure lies 0.022 eV/atom higher.


A:
VASP calculation (PBE-GGA) on PmPrSe after structural relaxation.

```
PmPrSe
1.0
7.741 0.000 0.000
0.000 11.233 0.000
0.000 -5.617 4.355
Pr Se Pm
4 4 4
Direct
0.000 0.798 0.595
0.000 0.202 0.405
0.500 0.298 0.595
0.500 0.702 0.405
0.803 0.564 0.000
0.303 0.936 0.000
0.197 0.436 0.000
0.697 0.064 0.000
0.663 0.799 0.000
0.837 0.299 0.000
0.163 0.701 0.000
0.337 0.201 0.000
```

Output
SG = Cmce
Density of states at the Fermi level = 0.83 states/eV/atom


B:
VASP calculation (PBE-GGA) on PmPrSe after structural relaxation.

```
PmPrSe
1.0
6.757 0.000 0.000
0.000 4.036 0.000
0.000 -2.018 3.496
Pr Se Pm
1 1 1
Direct
0.610 0.667 0.333
0.330 0.333 0.667
0.060 0.000 0.000
```

Output
SG = P3m1
Density of states at the Fermi level = 1.14 states/eV/atom


In terms of stability, B leads; the second structure lies 0.059 eV/atom higher.